Record 1
## RbAsH2IrSe (PBE-GGA)

Data for crystalline RbAsH2IrSe at its relaxed geometry.

Calculated values
N(E_F)	0.37	states/eV per atom
relative energy among the computed polymorphs	111.7	meV/atom

a b c (Å): 3.8686 6.9118 10.0272
angles (deg): 90.00 112.16 90.00
Element x y z (fractional)
Se1 0.3249 0.5000 0.1904
Se2 0.3249 0.0000 0.6904
H1 0.7234 0.1670 0.4151
H2 0.7234 0.3330 0.9151
H3 0.7234 0.8330 0.4151
H4 0.7234 0.6670 0.9151
Ir1 0.6319 0.5000 0.0184
Ir2 0.6319 0.0000 0.5184
Rb1 0.1974 0.0000 0.0176
Rb2 0.1974 0.5000 0.5176
As1 0.0038 0.5000 0.8439
As2 0.0038 0.0000 0.3439

---

Record 2
## RbAsH2IrSe (PBE-GGA)

Data for crystalline RbAsH2IrSe at its relaxed geometry.

Calculated values
N(E_F)	0.42	states/eV per atom
relative energy among the computed polymorphs	8.3	meV/atom

a b c (Å): 4.8760 3.9328 13.5115
angles (deg): 90.00 99.64 90.00
Element x y z (fractional)
Rb1 0.7668 0.0000 0.9891
Rb2 0.7668 0.5000 0.4891
Ir1 0.4589 0.5000 0.7374
Ir2 0.4589 0.0000 0.2374
As1 0.7070 0.5000 0.1990
As2 0.7070 0.0000 0.6990
H1 0.6404 0.5000 0.8546
H2 0.6404 0.0000 0.3546
H3 0.2580 0.5000 0.6233
H4 0.2580 0.0000 0.1233
Se1 0.1808 0.5000 0.2969
Se2 0.1808 0.0000 0.7969

---

Record 3
## RbAsH2IrSe (PBE-GGA)

Data for crystalline RbAsH2IrSe at its relaxed geometry.

Calculated values
N(E_F)	0.47	states/eV per atom
relative energy among the computed polymorphs	14.6	meV/atom

a b c (Å): 4.9395 3.9568 6.6186
angles (deg): 90.00 94.59 90.00
Element x y z (fractional)
Rb1 0.9820 0.5000 0.0786
H1 0.3976 0.5000 0.8176
H2 0.5749 0.5000 0.3377
Ir1 0.4679 0.5000 0.5733
Se1 0.7811 0.0000 0.6810
As1 0.1972 0.0000 0.4998

---

Record 4
## RbAsH2IrSe (PBE-GGA)

Data for crystalline RbAsH2IrSe at its relaxed geometry.

Calculated values
N(E_F)	0.20	states/eV per atom
relative energy among the computed polymorphs	51.3	meV/atom

a b c (Å): 3.9650 5.5320 6.5867
angles (deg): 73.80 89.88 69.17
Element x y z (fractional)
H1 0.4406 0.2219 0.8491
H2 0.4908 0.1174 0.3694
Se1 0.2297 0.6367 0.4151
Ir1 0.4668 0.1672 0.6083
Rb1 0.8616 0.3776 0.0728
As1 0.1035 0.8918 0.6735

---

Record 5
## AsH2IrS (PBE-GGA)

Data for crystalline AsH2IrS at its relaxed geometry.

Calculated values
N(E_F)	0.38	states/eV per atom

a b c (Å): 3.4714 5.2086 3.4714
angles (deg): 90.00 90.00 90.00
Element x y z (fractional)
As1 0.5000 0.5000 0.5000
H1 0.0000 0.0000 0.5000
H2 0.5000 0.0000 0.0000
S1 0.0000 0.0000 0.0000
Ir1 0.0000 0.5000 0.0000

---

Record 6
## ScAsH2Ir (PBE-GGA)

Data for crystalline ScAsH2Ir at its relaxed geometry.

Calculated values
N(E_F)	0.35	states/eV per atom

a b c (Å): 3.6197 5.6078 3.6197
angles (deg): 90.00 90.00 90.00
Element x y z (fractional)
H1 0.5000 0.0000 0.0000
H2 0.0000 0.0000 0.5000
Sc1 0.0000 0.0000 0.0000
As1 0.5000 0.5000 0.5000
Ir1 0.0000 0.5000 0.0000

---

Record 7
## SrAsHIr (PBE-GGA)

Data for crystalline SrAsHIr at its relaxed geometry.

Calculated values
N(E_F)	0.55	states/eV per atom

a b c (Å): 4.0674 4.0674 10.6203
angles (deg): 90.00 90.00 120.00
Element x y z (fractional)
H1 0.0000 0.0000 0.1541
H2 0.0000 0.0000 0.6541
Sr1 0.6667 0.3333 0.7329
Sr2 0.3333 0.6667 0.2329
Ir1 0.0000 0.0000 0.4957
Ir2 0.0000 0.0000 0.9957
As1 0.6667 0.3333 0.4296
As2 0.3333 0.6667 0.9296

---

Record 8
## TiAs2HIr (PBE-GGA)

Data for crystalline TiAs2HIr at its relaxed geometry.

Calculated values
N(E_F)	0.75	states/eV per atom

a b c (Å): 4.8478 4.6344 4.8478
angles (deg): 90.00 90.00 90.00
Each line ends with the local moment (μB).
Element x y z (fractional)
Ti1 0.0000 0.0000 0.0000  0.04
As1 0.0000 0.0000 0.5000  -0.02
As2 0.5000 0.0000 0.0000  0.00
H1 0.5000 0.5000 0.5000  0.31
Ir1 0.0000 0.5000 0.0000  0.00

---

Record 9
## As2HIrW (PBE-GGA)

Data for crystalline As2HIrW at its relaxed geometry.

Calculated values
N(E_F)	1.00	states/eV per atom

a b c (Å): 4.8605 4.8332 4.8605
angles (deg): 90.00 90.00 90.00
Each line ends with the local moment (μB).
Element x y z (fractional)
As1 0.0000 0.0000 0.5000  -0.02
As2 0.5000 0.0000 0.0000  -0.01
Ir1 0.0000 0.5000 0.0000  -0.11
W1 0.0000 0.0000 0.0000  0.02
H1 0.5000 0.5000 0.5000  0.31

---

Record 10
## AsHIrW2 (PBE-GGA)

Data for crystalline AsHIrW2 at its relaxed geometry.

Calculated values
N(E_F)	0.85	states/eV per atom

a b c (Å): 4.9329 2.9513 4.9329
angles (deg): 90.00 90.00 90.00
Element x y z (fractional)
W1 0.5000 0.0000 0.0000
W2 0.0000 0.0000 0.5000
H1 0.0000 0.5000 0.0000
As1 0.0000 0.0000 0.0000
Ir1 0.5000 0.5000 0.5000

---

Record 11
## K3AsH6 (PBE-GGA)

Data for crystalline K3AsH6 at its relaxed geometry.

Calculated values
N(E_F)	0.00	states/eV per atom

a b c (Å): 6.7919 7.3859 7.3859
angles (deg): 83.70 90.00 90.00
Element x y z (fractional)
As1 0.9724 0.1462 0.8538
As2 0.4724 0.8538 0.1462
K1 0.5166 0.4963 0.5037
K2 0.4585 0.3343 0.0325
K3 0.0166 0.5037 0.4963
K4 0.9585 0.0325 0.3343
K5 0.4585 0.9675 0.6657
K6 0.9585 0.6657 0.9675
H1 0.7840 0.7753 0.6052
H2 0.7840 0.3948 0.2247
H3 0.2840 0.2247 0.3948
H4 0.5494 0.6571 0.1441
H5 0.2022 0.0837 0.9163
H6 0.0494 0.1441 0.6571
H7 0.2105 0.7317 0.2683
H8 0.2840 0.6052 0.7753
H9 0.7105 0.2683 0.7317
H10 0.7022 0.9163 0.0837
H11 0.0494 0.3429 0.8559
H12 0.5494 0.8559 0.3429

---

Record 12
## K2AsH (PBE-GGA)

Data for crystalline K2AsH at its relaxed geometry.

Calculated values
relative energy among the computed polymorphs	0.0	meV/atom

a b c (Å): 5.5694 5.6027 8.1864
angles (deg): 90.00 90.00 94.27
Element x y z (fractional)
K1 0.7520 0.2481 0.9986
K2 0.2480 0.7519 0.0014
K3 0.2480 0.7519 0.4986
K4 0.7520 0.2481 0.5014
As1 0.2574 0.2566 0.2500
As2 0.7426 0.7434 0.7500
H1 0.0480 0.0541 0.2500
H2 0.9520 0.9459 0.7500

---

Record 13
## KAs4H7 (PBE-GGA)

Data for crystalline KAs4H7 at its relaxed geometry.

a b c (Å): 5.6834 7.1856 7.8735
angles (deg): 105.28 68.84 66.70
Element x y z (fractional)
K1 0.0952 0.8027 0.0070
As1 0.4602 0.7937 0.2858
As2 0.1548 0.2105 0.4800
As3 0.6224 0.2485 0.5066
As4 0.7294 0.7766 0.7647
H1 0.4613 0.5077 0.5697
H2 0.4850 0.2971 0.7330
H3 0.7733 0.8547 0.5986
H4 0.4936 0.6337 0.3790
H5 0.0709 0.1818 0.6765
H6 0.6407 0.6679 0.0507
H7 0.5132 0.0252 0.9484

---

Record 14
## KAs2H (PBE-GGA)

Data for crystalline KAs2H at its relaxed geometry.

Calculated values
N(E_F)	0.69	states/eV per atom
relative energy among the computed polymorphs	810.4	meV/atom

a b c (Å): 4.9024 4.9024 4.9024
angles (deg): 60.00 60.00 60.00
Element x y z (fractional)
H1 0.0000 0.0000 0.0000
As1 0.7500 0.7500 0.7500
As2 0.2500 0.2500 0.2500
K1 0.5000 0.5000 0.5000

---

Record 15
## K3AsH (PBE-GGA)

Data for crystalline K3AsH at its relaxed geometry.

Calculated values
N(E_F)	0.54	states/eV per atom
relative energy among the computed polymorphs	0.0	meV/atom

a b c (Å): 5.2916 5.2916 5.2916
angles (deg): 90.00 90.00 90.00
Each line ends with the local moment (μB).
Element x y z (fractional)
K1 0.0000 0.0000 0.5000  0.00
K2 0.5000 0.0000 0.0000  0.01
K3 0.0000 0.5000 0.0000  0.01
As1 0.5000 0.5000 0.5000  0.38
H1 0.0000 0.0000 0.0000  0.00

---

Record 16
## K2As2H5 (PBE-GGA)

Data for crystalline K2As2H5 at its relaxed geometry.

Calculated values
N(E_F)	0.00	states/eV per atom

a b c (Å): 5.5238 9.6543 8.6428
angles (deg): 129.03 104.29 93.29
Element x y z (fractional)
H1 0.9971 0.1819 0.9387
H2 0.3868 0.1367 0.4618
H3 0.2976 0.0610 0.4438
H4 0.1777 0.8248 0.6723
H5 0.7234 0.5258 0.4062
H6 0.1100 0.1389 0.9184
H7 0.6851 0.6165 0.4663
H8 0.6420 0.9822 0.1673
H9 0.7054 0.4619 0.7146
H10 0.0284 0.5295 0.1982
As1 0.9711 0.4190 0.7564
As2 0.6006 0.1295 0.1458
As3 0.4705 0.9269 0.7538
As4 0.1441 0.6482 0.1536
K1 0.2402 0.4341 0.4414
K2 0.0091 0.8583 0.9611
K3 0.7877 0.9343 0.4652
K4 0.5232 0.3627 0.9352

---

Record 17
## KAs2H (PBE-GGA)

Data for crystalline KAs2H at its relaxed geometry.

Calculated values
N(E_F)	0.40	states/eV per atom
relative energy among the computed polymorphs	0.0	meV/atom

a b c (Å): 6.1550 6.1550 6.2796
angles (deg): 60.65 60.65 90.00
Element x y z (fractional)
As1 0.3751 0.6250 0.2500
As2 0.3750 0.6251 0.7500
As3 0.8750 0.6249 0.7500
As4 0.3749 0.1250 0.2500
K1 0.7500 0.2500 0.5000
K2 0.0000 0.0000 0.0000
H1 0.5000 0.5000 0.0000
H2 0.2500 0.7500 0.5000

---

Record 18
## KAsH2 (PBE-GGA)

Data for crystalline KAsH2 at its relaxed geometry.

Calculated values
N(E_F)	0.00	states/eV per atom
relative energy among the computed polymorphs	4.2	meV/atom

a b c (Å): 5.3430 4.4781 5.0505
angles (deg): 116.32 121.93 90.00
Element x y z (fractional)
H1 0.3521 0.1176 0.7042
H2 0.6479 0.4135 0.2958
As1 0.5000 0.5146 0.0000
K1 0.0000 0.0146 0.0000

---

Record 19
## KAsH2 (PBE-GGA)

Data for crystalline KAsH2 at its relaxed geometry.

Calculated values
N(E_F)	0.00	states/eV per atom
relative energy among the computed polymorphs	265.1	meV/atom

a b c (Å): 4.8554 4.8554 6.6926
angles (deg): 68.73 68.73 90.00
Element x y z (fractional)
K1 0.2500 0.7500 0.5000
K2 0.5000 0.5000 0.0000
H1 0.8762 0.6250 0.2500
H2 0.8750 0.1238 0.7500
H3 0.3750 0.1262 0.7500
H4 0.8738 0.1250 0.2500
As1 0.0000 0.0000 0.0000
As2 0.7500 0.2500 0.5000

---

Record 20
## K2AsH (PBE-GGA)

Data for crystalline K2AsH at its relaxed geometry.

Calculated values
N(E_F)	1.69	states/eV per atom
relative energy among the computed polymorphs	594.6	meV/atom

a b c (Å): 5.5434 5.5434 5.5434
angles (deg): 60.00 60.00 60.00
Each line ends with the local moment (μB).
Element x y z (fractional)
H1 0.0000 0.0000 0.0000  0.14
K1 0.2500 0.2500 0.2500  0.02
K2 0.7500 0.7500 0.7500  0.02
As1 0.5000 0.5000 0.5000  0.67

---

Looking at E_tot for the records above, in order, we have -4.280, -4.384, -4.377, -4.341, -4.520, -5.297, -5.149, -4.785, -5.470, -7.620, -2.834, -2.925, -3.451, -2.486, -2.452, -3.329, -3.296, -3.333, -3.072, -2.331 eV/atom.
Looking at volume for the records above, in order, we have 124.2, 127.7, 128.9, 128.9, 62.8, 73.5, 76.1, 108.9, 114.2, 71.8, 184.1, 127.4, 242.5, 83.3, 148.2, 166.4, 85.7, 87.4, 67.7, 120.5 Å³/f.u..